(1)
# PBE-GGA HfSnNO, optimized geometry
data_HfSnNO
_symmetry_space_group_name_H-M 'P 1'
_symmetry_Int_Tables_number 1
_cell_length_a 4.117
_cell_length_b 4.117
_cell_length_c 8.832
_cell_angle_alpha 90.00
_cell_angle_beta 90.00
_cell_angle_gamma 90.00
loop_
_symmetry_equiv_pos_as_xyz
'x,y,z'
loop_
_atom_site_label
_atom_site_fract_x
_atom_site_fract_y
_atom_site_fract_z
Sn1 0.250 0.750 0.500
O1 0.250 0.750 0.000
N1 0.750 0.750 0.293
N2 0.250 0.250 0.707
Sn2 0.750 0.250 0.500
Hf1 0.750 0.750 0.082
Hf2 0.250 0.250 0.918
O2 0.750 0.250 0.000
# - Volume: 149.69 Å³ per cell
# - DFT total energy: -7.84 eV per atom
# - Energy relative to the lowest polymorph listed for this composition: 457 meV per atom

---

(2)
# PBE-GGA Fe2S, optimized geometry
data_Fe2S
_symmetry_space_group_name_H-M 'P 1'
_symmetry_Int_Tables_number 1
_cell_length_a 4.923
_cell_length_b 4.923
_cell_length_c 4.923
_cell_angle_alpha 60.00
_cell_angle_beta 60.00
_cell_angle_gamma 60.00
loop_
_symmetry_equiv_pos_as_xyz
'x,y,z'
loop_
_atom_site_label
_atom_site_fract_x
_atom_site_fract_y
_atom_site_fract_z
Fe1 0.625 0.625 0.125
S1 0.250 0.250 0.250
Fe2 0.125 0.625 0.625
Fe3 0.625 0.125 0.625
Fe4 0.625 0.625 0.625
S2 0.000 0.000 0.000
# - Volume: 84.35 Å³ per cell
# - DFT total energy: -6.39 eV per atom
# - Energy relative to the lowest polymorph listed for this composition: 360 meV per atom

---

(3)
# PBE-GGA SmTmAl2Pd4, optimized geometry
data_SmTmAl2Pd4
_symmetry_space_group_name_H-M 'P 1'
_symmetry_Int_Tables_number 1
_cell_length_a 4.368
_cell_length_b 4.368
_cell_length_c 9.207
_cell_angle_alpha 90.00
_cell_angle_beta 90.00
_cell_angle_gamma 120.00
loop_
_symmetry_equiv_pos_as_xyz
'x,y,z'
loop_
_atom_site_label
_atom_site_fract_x
_atom_site_fract_y
_atom_site_fract_z
Al1 0.333 0.667 0.258
Sm1 0.000 0.000 0.000
Pd1 0.667 0.333 0.822
Pd2 0.000 0.000 0.665
Pd3 0.667 0.333 0.178
Pd4 0.000 0.000 0.335
Tm1 0.667 0.333 0.500
Al2 0.333 0.667 0.742
# - Volume: 152.10 Å³ per cell
# - DFT total energy: -5.61 eV per atom

---

(4)
# PBE-GGA CuAsIrAu, optimized geometry
data_CuAsIrAu
_symmetry_space_group_name_H-M 'P 1'
_symmetry_Int_Tables_number 1
_cell_length_a 4.455
_cell_length_b 4.455
_cell_length_c 4.455
_cell_angle_alpha 60.00
_cell_angle_beta 60.00
_cell_angle_gamma 60.00
loop_
_symmetry_equiv_pos_as_xyz
'x,y,z'
loop_
_atom_site_label
_atom_site_fract_x
_atom_site_fract_y
_atom_site_fract_z
Au1 0.500 0.500 0.500
As1 0.000 0.000 0.000
Cu1 0.750 0.750 0.750
Ir1 0.250 0.250 0.250
# - Volume: 62.52 Å³ per cell
# - DFT total energy: -4.86 eV per atom
# - Energy relative to the lowest polymorph listed for this composition: 0 meV per atom